! Pr3DyTl2 | the Alexandria database | PBE | optimized geometry; values from VASP
&SYSTEM
  ibrav = 0, nat = 12, ntyp = 3
/
ATOMIC_SPECIES
Tl 204.38 Tl.upf
Dy 162.50 Dy.upf
Pr 140.91 Pr.upf
CELL_PARAMETERS angstrom
5.269 0.000 0.000
0.000 6.898 0.000
0.000 0.000 10.399
ATOMIC_POSITIONS crystal
Tl 0.500 0.707 0.862
Tl 0.000 0.298 0.634
Tl 0.000 0.798 0.366
Tl 0.500 0.207 0.138
Dy 0.500 0.045 0.460
Dy 0.500 0.545 0.540
Pr 0.000 0.816 0.678
Pr 0.500 0.185 0.810
Pr 0.000 0.316 0.322
Pr 0.000 0.949 0.040
Pr 0.500 0.685 0.190
Pr 0.000 0.449 0.960
! Offset from the most stable computed form = 0 meV/atom
! Space group = No. 26
! Total magnetization = 0.0000 μB per atom
! Formation energy = -268 meV/atom

***

! Ho2Se2O | the Alexandria database | PBE | optimized geometry; values from VASP
&SYSTEM
  ibrav = 0, nat = 10, ntyp = 3
/
ATOMIC_SPECIES
Ho 164.93 Ho.upf
Se 78.96 Se.upf
O 16.00 O.upf
CELL_PARAMETERS angstrom
5.705 0.000 0.000
2.853 6.277 0.090
2.853 2.106 6.849
ATOMIC_POSITIONS crystal
Ho 0.808 0.767 0.617
Ho 0.531 0.758 0.180
Ho 0.469 0.242 0.820
Ho 0.192 0.233 0.383
Se 0.322 0.755 0.600
Se 0.043 0.697 0.217
Se 0.678 0.245 0.400
Se 0.957 0.303 0.783
O 0.625 0.886 0.865
O 0.375 0.114 0.135
! Offset from the most stable computed form = 0 meV/atom
! Space group = No. 12
! Total magnetization = 0.0000 μB per atom
! E_form (uncorrected) = -2.4543 eV per atom

***

! AlReSe2 | the Alexandria database | PBE | optimized geometry; values from VASP
&SYSTEM
  ibrav = 0, nat = 4, ntyp = 3
/
ATOMIC_SPECIES
Al 26.98 Al.upf
Se 78.96 Se.upf
Re 186.21 Re.upf
CELL_PARAMETERS angstrom
2.961 -0.001 0.000
-1.411 2.603 0.000
0.000 0.000 9.541
ATOMIC_POSITIONS crystal
Al 0.500 0.500 0.250
Se 0.000 0.000 0.532
Se 0.000 0.000 0.968
Re 0.500 0.500 0.750
! Space group = No. 65
! Total magnetization = 0.0000 μB per atom
! E_form (uncorrected) = 0.5046 eV per atom

***

! NdReH | the Alexandria database | PBE | optimized geometry; values from VASP
&SYSTEM
  ibrav = 0, nat = 12, ntyp = 3
/
ATOMIC_SPECIES
Re 186.21 Re.upf
Nd 144.24 Nd.upf
H 1.01 H.upf
CELL_PARAMETERS angstrom
-3.224 1.049 -0.895
-1.387 -1.987 2.665
1.354 13.072 10.451
ATOMIC_POSITIONS crystal
Re 0.750 0.750 0.998
Re 0.250 0.250 0.502
Re 0.750 0.750 0.498
Re 0.250 0.250 0.002
Nd 0.748 0.250 0.841
Nd 0.248 0.750 0.659
Nd 0.752 0.250 0.341
Nd 0.252 0.750 0.159
H 0.747 0.250 0.697
H 0.753 0.250 0.197
H 0.247 0.750 0.803
H 0.253 0.750 0.303
! Total energy = -82.049 eV/cell
! Space group = No. 62
! Total magnetization = 0.0001 μB per atom

***

! ScGaCoSe2 | the Alexandria database | PBE | optimized geometry; values from VASP
&SYSTEM
  ibrav = 0, nat = 5, ntyp = 4
/
ATOMIC_SPECIES
Sc 44.96 Sc.upf
Se 78.96 Se.upf
Ga 69.72 Ga.upf
Co 58.93 Co.upf
CELL_PARAMETERS angstrom
-2.668 -2.354 3.749
3.419 -3.477 0.250
2.549 2.762 3.548
ATOMIC_POSITIONS crystal
Sc 0.000 0.000 0.000
Se 0.500 0.000 0.000
Se 0.000 0.000 0.500
Ga 0.500 0.500 0.500
Co 0.000 0.500 0.000
! Space group = No. 123
! Total magnetization = 0.4275 μB per atom
! E_form (uncorrected) = 0.1540 eV per atom

***

! ZrNbBiPb2 | the Alexandria database | PBE | optimized geometry; values from VASP
&SYSTEM
  ibrav = 0, nat = 5, ntyp = 4
/
ATOMIC_SPECIES
Bi 208.98 Bi.upf
Nb 92.91 Nb.upf
Zr 91.22 Zr.upf
Pb 207.20 Pb.upf
CELL_PARAMETERS angstrom
5.597 0.000 0.000
0.000 5.573 0.000
0.000 0.000 5.597
ATOMIC_POSITIONS crystal
Bi 0.000 0.500 0.000
Nb 0.000 0.000 0.000
Zr 0.500 0.500 0.500
Pb 0.000 0.000 0.500
Pb 0.500 0.000 0.000
! Space group = No. 123
! Total magnetization = 0.5014 μB per atom
! Formation energy = 903 meV/atom

***

! NiSbRu3 | the Alexandria database | PBE | optimized geometry; values from VASP
&SYSTEM
  ibrav = 0, nat = 5, ntyp = 3
/
ATOMIC_SPECIES
Ru 101.07 Ru.upf
Ni 58.69 Ni.upf
Sb 121.76 Sb.upf
CELL_PARAMETERS angstrom
-3.282 0.642 2.962
2.421 -2.071 3.131
1.823 3.906 1.174
ATOMIC_POSITIONS crystal
Ru 0.000 0.500 0.000
Ru 0.500 0.000 0.000
Ru 0.000 0.000 0.500
Ni 0.000 0.000 0.000
Sb 0.500 0.500 0.500
! Offset from the most stable computed form = 0 meV/atom
! Space group = No. 221
! Total magnetization = 0.6585 μB per atom
! E_form (uncorrected) = 1.2037 eV per atom

***

! Na3MgNi2H8 | the Alexandria database | PBE | optimized geometry; values from VASP
&SYSTEM
  ibrav = 0, nat = 14, ntyp = 4
/
ATOMIC_SPECIES
Na 22.99 Na.upf
H 1.01 H.upf
Ni 58.69 Ni.upf
Mg 24.30 Mg.upf
CELL_PARAMETERS angstrom
5.099 0.000 0.000
-2.549 4.416 0.000
0.000 0.000 6.778
ATOMIC_POSITIONS crystal
Na 0.667 0.333 0.253
Na 0.000 0.000 0.000
Na 0.333 0.667 0.747
H 0.843 0.157 0.709
H 0.333 0.667 0.080
H 0.314 0.157 0.709
H 0.157 0.843 0.291
H 0.667 0.333 0.920
H 0.157 0.314 0.291
H 0.843 0.686 0.709
H 0.686 0.843 0.291
Ni 0.333 0.667 0.300
Ni 0.667 0.333 0.700
Mg 0.000 0.000 0.500
! Total energy = -44.361 eV/cell
! Space group = No. 164
! Total magnetization = 0.0000 μB per atom

***

! BaNaIN2 | the Alexandria database | PBE | optimized geometry; values from VASP
&SYSTEM
  ibrav = 0, nat = 5, ntyp = 4
/
ATOMIC_SPECIES
Na 22.99 Na.upf
Ba 137.33 Ba.upf
I 126.90 I.upf
N 14.01 N.upf
CELL_PARAMETERS angstrom
-4.430 0.919 -1.946
-2.152 -1.958 3.974
-0.036 4.983 2.436
ATOMIC_POSITIONS crystal
Na 0.000 0.000 0.000
Ba 0.500 0.500 0.500
I 0.000 0.000 0.500
N 0.000 0.500 0.000
N 0.500 0.000 0.000
! Offset from the most stable computed form = 62 meV/atom
! Space group = No. 123
! Total magnetization = 0.8000 μB per atom
! E_form (uncorrected) = 0.7756 eV per atom

***

! PrTlPb | the Alexandria database | PBE | optimized geometry; values from VASP
&SYSTEM
  ibrav = 0, nat = 6, ntyp = 3
/
ATOMIC_SPECIES
Tl 204.38 Tl.upf
Pb 207.20 Pb.upf
Pr 140.91 Pr.upf
CELL_PARAMETERS angstrom
-3.792 3.130 3.700
1.264 -1.806 2.823
6.821 5.231 2.564
ATOMIC_POSITIONS crystal
Tl 0.750 0.650 0.699
Tl 0.250 0.350 0.301
Pb 0.500 0.000 0.000
Pb 0.000 0.000 0.000
Pr 0.750 0.833 0.334
Pr 0.250 0.167 0.666
! Offset from the most stable computed form = 228 meV/atom
! Space group = No. 63
! Total magnetization = 0.0000 μB per atom
! Formation energy = -139 meV/atom

***

! TlCrTe2 | the Alexandria database | PBE | optimized geometry; values from VASP
&SYSTEM
  ibrav = 0, nat = 4, ntyp = 3
/
ATOMIC_SPECIES
Cr 52.00 Cr.upf
Te 127.60 Te.upf
Tl 204.38 Tl.upf
CELL_PARAMETERS angstrom
4.121 0.000 0.000
-2.061 3.569 0.000
0.000 0.000 7.960
ATOMIC_POSITIONS crystal
Cr 0.000 0.000 0.500
Te 0.333 0.667 0.320
Te 0.667 0.333 0.680
Tl 0.000 0.000 0.000
! Space group = No. 164
! Total magnetization = 0.7605 μB per atom
! E_form (uncorrected) = -0.2579 eV per atom

***

! BiN | the Alexandria database | PBE | optimized geometry; values from VASP
&SYSTEM
  ibrav = 0, nat = 4, ntyp = 2
/
ATOMIC_SPECIES
N 14.01 N.upf
Bi 208.98 Bi.upf
CELL_PARAMETERS angstrom
-2.011 -2.788 0.685
-0.360 -0.585 -3.437
5.121 -3.826 0.115
ATOMIC_POSITIONS crystal
N 0.245 0.750 0.638
N 0.755 0.250 0.362
Bi 0.257 0.750 0.292
Bi 0.743 0.250 0.708
! Space group = No. 11
! Total magnetization = 0.0000 μB per atom
! E_form (uncorrected) = 0.6349 eV per atom